No. 1
# Pm3Sc5 | Alexandria via LeMat-Bulk | PBE-GGA | optimized geometry
data_Pm3Sc5
_chemical_formula_sum 'Pm3 Sc5'
_space_group_name_H-M_alt 'P m m 2'
_space_group_IT_number 25
_space_group_name_Hall 'P 2 -2'
_cell_length_a 3.452
_cell_length_b 5.438
_cell_length_c 12.030
_cell_angle_alpha 90.00
_cell_angle_beta 90.00
_cell_angle_gamma 90.00
loop_
_atom_site_label
_atom_site_fract_x
_atom_site_fract_y
_atom_site_fract_z
Pm1 0.000 0.000 0.000
Pm2 0.000 0.500 0.187
Pm3 0.500 0.000 0.281
Sc1 0.000 0.000 0.527
Sc2 0.000 0.500 0.682
Sc3 0.500 0.000 0.755
Sc4 0.500 0.500 0.449
Sc5 0.500 0.500 0.912
# ΔE_f ... 0.060 eV per atom
# Calculated volume ... 28.23 Å³ per atom
# E_tot ... -5.68 eV/atom
# Excess energy over the best structure of this formula in the dataset ... 0.0000 eV per atom

***

No. 2
# Ta2CoW | Alexandria via LeMat-Bulk | PBE-GGA | optimized geometry
data_Ta2CoW
_chemical_formula_sum 'Ta4 Co2 W2'
_space_group_name_H-M_alt 'I -4 m 2'
_space_group_IT_number 119
_space_group_name_Hall 'I -4 -2'
_cell_length_a 3.822
_cell_length_b 3.822
_cell_length_c 8.783
_cell_angle_alpha 90.00
_cell_angle_beta 90.00
_cell_angle_gamma 90.00
loop_
_atom_site_label
_atom_site_fract_x
_atom_site_fract_y
_atom_site_fract_z
Ta1 0.000 0.000 0.000
Ta2 0.000 0.500 0.250
Co1 0.000 0.000 0.500
W1 0.000 0.500 0.750
# ΔE_f ... 0.156 eV per atom
# Calculated volume ... 16.04 Å³ per atom
# E_tot ... -10.79 eV/atom
# Excess energy over the best structure of this formula in the dataset ... 0.2439 eV per atom